Material: Tb3Sm2NpN6
Method: DFT, PBE
State: optimized geometry

The structure belongs to space group C2/m (No. 12); the cell edges are 6.082, 10.534 and 6.062 Å and the angles 90.00°, 109.52° and 90.00°. Symmetry generates all atoms from Tb at (0.000, 0.000, 0.000), Tb at (0.000, 0.333, 0.000), Sm at (0.000, 0.167, 0.500), Np at (0.000, 0.500, 0.500), N at (0.230, 0.500, 0.258) and N at (0.238, 0.344, 0.745).

The uncorrected formation energy comes out at -1.5234 eV per atom. The energy comes out at -209.01 eV per cell. As for the total magnetic moment: 2.615 μB per formula unit. As for the density of states at the Fermi level: 14.5 states/eV/cell.